Here is Ho2NpNiS5 after structural relaxation from Alexandria. Energies are from PBE.

DOS at the Fermi energy: 43.556 states/eV per cell
Formation energy from raw total energies: -1.518 eV/atom

The structure in CIF format:
```
data_Ho2NpNiS5
_cell_length_a 3.7333
_cell_length_b 16.4850
_cell_length_c 11.5989
_cell_angle_alpha 90.00
_cell_angle_beta 90.00
_cell_angle_gamma 90.00
_symmetry_space_group_name_H-M 'C m c 21'
_symmetry_Int_Tables_number 36
loop_
_symmetry_equiv_pos_as_xyz
'x,y,z'
'-x,-y,z+1/2'
'-x,y,z'
'x,-y,z+1/2'
'x+1/2,y+1/2,z'
'-x+1/2,-y+1/2,z+1/2'
'-x+1/2,y+1/2,z'
'x+1/2,-y+1/2,z+1/2'
loop_
_atom_site_label
_atom_site_type_symbol
_atom_site_fract_x
_atom_site_fract_y
_atom_site_fract_z
_atom_site_occupancy
Ho1 Ho 0.0000 0.1047 0.0000 1
Ho2 Ho 0.0000 0.1157 0.3414 1
Np1 Np 0.0000 0.1755 0.6771 1
Ni1 Ni 0.0000 0.4497 0.0688 1
S1 S 0.0000 0.0148 0.6628 1
S2 S 0.0000 0.3038 0.3472 1
S3 S 0.0000 0.3211 0.0055 1
S4 S 0.0000 0.3427 0.6677 1
S5 S 0.0000 0.4957 0.3938 1
```


Here is HoNp2NiS5 after structural relaxation from Alexandria. Energies are from PBE.

DOS at the Fermi energy: 64.330 states/eV per cell
Formation energy from raw total energies: -1.414 eV/atom

The structure in CIF format:
```
data_HoNp2NiS5
_cell_length_a 3.7313
_cell_length_b 16.2923
_cell_length_c 11.6005
_cell_angle_alpha 90.00
_cell_angle_beta 90.00
_cell_angle_gamma 90.00
_symmetry_space_group_name_H-M 'C m c 21'
_symmetry_Int_Tables_number 36
loop_
_symmetry_equiv_pos_as_xyz
'x,y,z'
'-x,-y,z+1/2'
'-x,y,z'
'x,-y,z+1/2'
'x+1/2,y+1/2,z'
'-x+1/2,-y+1/2,z+1/2'
'-x+1/2,y+1/2,z'
'x+1/2,-y+1/2,z+1/2'
loop_
_atom_site_label
_atom_site_type_symbol
_atom_site_fract_x
_atom_site_fract_y
_atom_site_fract_z
_atom_site_occupancy
Ho1 Ho 0.0000 0.1777 0.0000 1
Np1 Np 0.0000 0.1070 0.3228 1
Np2 Np 0.0000 0.1170 0.6686 1
Ni1 Ni 0.0000 0.4481 0.3902 1
S1 S 0.0000 0.0122 0.9861 1
S2 S 0.0000 0.3031 0.6680 1
S3 S 0.0000 0.3167 0.3293 1
S4 S 0.0000 0.3443 0.9936 1
S5 S 0.0000 0.4956 0.7195 1
```